Computed, not measured: Li2Tl3NiF9 after structural relaxation at the PBE+U level of DFT.

Cell lengths 5.6527, 5.6527, 7.0175 Å; angles 90.00, 90.00, 120.00 degrees
Last column: magnetic moment on the atom in μB.
Fractional positions:
Tl  0.0000  0.0000  0.0000  0.04
Tl  0.6667  0.3333  0.2947  0.03
Tl  0.3333  0.6667  0.7053  0.03
F  0.5000  0.5000  0.0000  0.01
F  0.8355  0.6709  0.6689  0.04
F  0.5000  0.0000  0.0000  0.01
F  0.3291  0.1645  0.6689  0.04
F  0.1645  0.3291  0.3311  0.04
F  0.6709  0.8355  0.3311  0.04
F  0.0000  0.5000  0.0000  0.01
F  0.1645  0.8355  0.3311  0.04
F  0.8355  0.1645  0.6689  0.04
Li  0.6667  0.3333  0.8270  0.00
Li  0.3333  0.6667  0.1730  0.00
Ni  0.0000  0.0000  0.5000  1.83

Summary:
E, eV/atom: -4.103
DOS at the Fermi energy, states/eV per cell: 7.7
Space-group type: P-3m1 (164)